*one*
Pm5Nd3Sm2: optimized geometry, GGA-PBE.

```
Pm5Nd3Sm2
1.0
8.735 1.787 -4.136
0.357 8.868 -4.186
-1.981 -2.245 10.911
Pm Nd Sm
10 6 4
Direct
0.527 0.277 0.554 Pm
0.726 0.476 0.951 Pm
0.389 0.137 0.747 Pm
0.020 0.770 0.541 Pm
0.274 0.524 0.049 Pm
0.980 0.230 0.459 Pm
0.473 0.723 0.446 Pm
0.611 0.863 0.253 Pm
0.858 0.610 0.747 Pm
0.142 0.390 0.253 Pm
0.770 0.020 0.041 Nd
0.983 0.219 0.752 Nd
0.270 0.533 0.752 Nd
0.730 0.467 0.248 Nd
0.017 0.781 0.248 Nd
0.230 0.980 0.959 Nd
0.534 0.269 0.254 Sm
0.780 0.014 0.746 Sm
0.220 0.986 0.254 Sm
0.466 0.731 0.746 Sm
```

***

*two*
Pm5Nd3Sm2: optimized geometry, GGA-PBE.

```
Pm5Nd3Sm2
1.0
-5.646 3.756 -1.497
-9.855 -6.971 3.572
-7.351 -0.564 10.204
Pm Nd Sm
10 6 4
Direct
0.501 0.749 0.749 Pm
0.001 0.749 0.749 Pm
0.624 0.279 0.473 Pm
0.876 0.527 0.721 Pm
0.250 0.500 0.500 Pm
0.124 0.473 0.279 Pm
0.750 0.500 0.500 Pm
0.376 0.721 0.527 Pm
0.499 0.251 0.251 Pm
0.999 0.251 0.251 Pm
0.250 0.000 0.000 Nd
0.126 0.124 0.623 Nd
0.374 0.377 0.876 Nd
0.626 0.623 0.124 Nd
0.750 0.000 0.000 Nd
0.874 0.876 0.377 Nd
0.126 0.780 0.967 Sm
0.874 0.220 0.033 Sm
0.626 0.967 0.780 Sm
0.374 0.033 0.220 Sm
```

***

Quick one: most stable of them? *one*

***

*one*
Pm5NdSm: optimized geometry, GGA-PBE.

```
Pm5NdSm
1.0
6.370 0.166 2.782
2.430 5.891 2.782
1.107 0.762 13.769
Pm Sm Nd
10 2 2
Direct
0.598 0.841 0.749 Pm
0.691 0.654 0.000 Pm
0.654 0.691 0.500 Pm
0.346 0.309 0.500 Pm
0.841 0.598 0.249 Pm
0.402 0.159 0.251 Pm
0.309 0.346 0.000 Pm
0.162 0.838 0.750 Pm
0.159 0.402 0.751 Pm
0.838 0.162 0.250 Pm
0.000 0.000 0.000 Sm
0.000 0.000 0.500 Sm
0.722 0.278 0.750 Nd
0.278 0.722 0.250 Nd
```

***

*two*
Pm5NdSm: optimized geometry, GGA-PBE.

```
Pm5NdSm
1.0
-3.016 3.832 3.279
-7.598 0.626 -2.455
-5.201 -3.717 4.825
Pm Sm Nd
5 1 1
Direct
0.750 0.250 0.250 Pm
0.250 0.750 0.750 Pm
0.500 0.179 0.821 Pm
0.500 0.821 0.179 Pm
0.000 0.500 0.500 Pm
0.000 0.000 0.000 Sm
0.500 0.500 0.500 Nd
```

***

Quick one: most stable of them? *one*

***

*one*
Pm4Nd5Sm: optimized geometry, GGA-PBE.

```
Pm4Nd5Sm
1.0
-1.613 -1.951 -2.447
3.769 3.108 -4.964
9.927 -9.895 3.881
Nd Sm Pm
5 1 4
Direct
0.500 0.500 0.000 Nd
0.799 0.401 0.598 Nd
0.794 0.896 0.588 Nd
0.206 0.104 0.412 Nd
0.201 0.599 0.402 Nd
0.500 0.000 0.000 Sm
0.393 0.191 0.785 Pm
0.094 0.297 0.188 Pm
0.906 0.703 0.812 Pm
0.607 0.809 0.215 Pm
```

***

*two*
Pm4Nd5Sm: optimized geometry, GGA-PBE.

```
Pm4Nd5Sm
1.0
6.271 0.000 0.000
3.135 7.508 0.000
3.135 0.000 7.508
Nd Pm Sm
5 4 1
Direct
0.769 0.379 0.001 Nd
0.769 0.999 0.379 Nd
0.147 0.001 0.621 Nd
0.687 0.000 0.000 Nd
0.148 0.621 0.999 Nd
0.116 0.326 0.325 Pm
0.767 0.674 0.675 Pm
0.441 0.675 0.326 Pm
0.442 0.325 0.674 Pm
0.224 0.000 0.000 Sm
```

***

Quick one: most stable of them? *one*

***

*one*
Pm2Nd8Sm3: optimized geometry, GGA-PBE.

```
Pm2Nd8Sm3
1.0
-3.988 4.720 1.041
-9.204 -7.448 -1.489
2.949 4.484 7.160
Pm Nd Sm
2 8 3
Direct
0.655 0.713 0.427 Pm
0.345 0.287 0.573 Pm
0.329 0.427 0.342 Nd
0.671 0.573 0.658 Nd
0.780 0.447 0.894 Nd
0.055 0.848 0.696 Nd
0.329 0.915 0.342 Nd
0.220 0.553 0.106 Nd
0.671 0.085 0.658 Nd
0.945 0.152 0.304 Nd
0.000 0.755 0.000 Sm
0.500 0.000 0.000 Sm
0.000 0.245 0.000 Sm
```

***

*two*
Pm2Nd8Sm3: optimized geometry, GGA-PBE.

```
Pm2Nd8Sm3
1.0
5.745 0.000 0.783
0.000 7.743 0.000
-1.407 -3.871 10.290
Nd Pm Sm
8 2 3
Direct
0.999 0.328 0.656 Nd
0.500 0.602 0.789 Nd
0.500 0.812 0.211 Nd
0.500 0.188 0.789 Nd
0.001 0.867 0.734 Nd
0.500 0.398 0.211 Nd
0.001 0.672 0.344 Nd
0.999 0.133 0.266 Nd
0.499 0.241 0.483 Pm
0.501 0.759 0.517 Pm
0.000 0.714 0.000 Sm
0.000 0.286 0.000 Sm
0.500 0.000 0.000 Sm
```

***

Quick one: most stable of them? *one*

***

*one*
Pm5NdSm5: optimized geometry, GGA-PBE.

```
Pm5NdSm5
1.0
-0.697 -2.527 -5.637
5.631 0.245 2.622
-1.829 -10.429 4.901
Sm Pm Nd
5 5 1
Direct
0.831 0.662 0.500 Sm
0.338 0.169 0.500 Sm
0.831 0.169 0.500 Sm
0.000 0.000 0.735 Sm
0.000 0.000 0.265 Sm
0.333 0.667 0.675 Pm
0.667 0.333 0.841 Pm
0.333 0.667 0.325 Pm
0.000 0.000 0.000 Pm
0.667 0.333 0.159 Pm
0.333 0.667 0.000 Nd
```

***

*two*
Pm5NdSm5: optimized geometry, GGA-PBE.

```
Pm5NdSm5
1.0
-0.805 6.804 1.612
4.801 -3.046 6.446
9.328 0.730 2.599
Sm Nd Pm
5 1 5
Direct
0.853 0.500 0.857 Sm
0.500 0.000 0.000 Sm
0.147 0.500 0.143 Sm
0.227 0.067 0.645 Sm
0.773 0.933 0.355 Sm
0.000 0.000 0.000 Nd
0.644 0.483 0.235 Pm
0.000 0.500 0.500 Pm
0.306 0.056 0.298 Pm
0.356 0.517 0.765 Pm
0.694 0.944 0.702 Pm
```

***

Quick one: most stable of them? *two*

***

*one*
PmNd2Sm5: optimized geometry, GGA-PBE.

```
PmNd2Sm5
1.0
-6.528 -7.748 0.321
4.868 -4.021 1.952
-2.362 8.874 6.123
Sm Pm Nd
10 2 4
Direct
0.888 0.623 0.599 Sm
0.112 0.377 0.401 Sm
0.711 0.123 0.599 Sm
0.940 0.750 0.000 Sm
0.313 0.952 0.805 Sm
0.687 0.048 0.195 Sm
0.509 0.548 0.195 Sm
0.060 0.250 0.000 Sm
0.289 0.877 0.401 Sm
0.491 0.452 0.805 Sm
0.000 0.000 0.500 Pm
0.500 0.500 0.500 Pm
0.333 0.036 0.158 Nd
0.825 0.536 0.158 Nd
0.175 0.464 0.842 Nd
0.667 0.964 0.842 Nd
```

***

*two*
PmNd2Sm5: optimized geometry, GGA-PBE.

```
PmNd2Sm5
1.0
5.146 0.000 0.000
0.000 7.294 0.000
0.000 0.000 14.586
Pm Nd Sm
2 4 10
Direct
0.000 0.000 0.500 Pm
0.000 0.500 0.000 Pm
0.500 0.249 0.125 Nd
0.500 0.749 0.375 Nd
0.500 0.251 0.625 Nd
0.500 0.751 0.875 Nd
0.000 0.501 0.750 Sm
0.500 0.249 0.375 Sm
0.000 0.000 0.000 Sm
0.500 0.749 0.125 Sm
0.000 0.500 0.500 Sm
0.000 0.001 0.750 Sm
0.500 0.751 0.625 Sm
0.500 0.251 0.875 Sm
0.000 0.499 0.250 Sm
0.000 0.999 0.250 Sm
```

***

Quick one: most stable of them? *two*

***

*one*
PmNd8Sm2: optimized geometry, GGA-PBE.

```
PmNd8Sm2
1.0
5.013 0.000 -1.335
-0.538 7.939 -2.021
-0.102 -0.081 9.696
Pm Nd Sm
1 8 2
Direct
0.500 0.000 0.000 Pm
0.409 0.545 0.817 Nd
0.591 0.455 0.183 Nd
0.863 0.817 0.727 Nd
0.954 0.272 0.908 Nd
0.682 0.910 0.364 Nd
0.046 0.728 0.092 Nd
0.137 0.183 0.273 Nd
0.318 0.090 0.636 Nd
0.773 0.364 0.546 Sm
0.227 0.636 0.454 Sm
```

***

*two*
PmNd8Sm2: optimized geometry, GGA-PBE.

```
PmNd8Sm2
1.0
-4.125 -3.970 0.632
2.680 -3.376 -9.426
6.598 -6.652 -4.434
Nd Pm Sm
8 1 2
Direct
0.230 0.187 0.187 Nd
0.731 0.865 0.396 Nd
0.237 0.545 0.545 Nd
0.731 0.396 0.865 Nd
0.770 0.813 0.813 Nd
0.763 0.455 0.455 Nd
0.269 0.604 0.135 Nd
0.269 0.135 0.604 Nd
0.000 0.000 0.000 Pm
0.257 0.716 0.716 Sm
0.743 0.284 0.284 Sm
```

***

Quick one: most stable of them? *one*

***

*one*
Pm2NdSm2: optimized geometry, GGA-PBE.

```
Pm2NdSm2
1.0
-0.121 5.595 -7.816
5.557 -6.337 -4.622
-3.092 -1.804 -1.244
Sm Pm Nd
4 4 2
Direct
0.627 0.127 0.000 Sm
0.127 0.373 0.000 Sm
0.373 0.873 0.000 Sm
0.873 0.627 0.000 Sm
0.828 0.328 0.500 Pm
0.172 0.672 0.500 Pm
0.672 0.828 0.500 Pm
0.328 0.172 0.500 Pm
0.500 0.500 0.000 Nd
0.000 0.000 0.000 Nd
```

***

*two*
Pm2NdSm2: optimized geometry, GGA-PBE.

```
Pm2NdSm2
1.0
-3.553 -4.605 -2.369
5.844 -1.144 -1.994
-0.473 -2.526 9.652
Sm Pm Nd
4 4 2
Direct
0.647 0.690 0.848 Sm
0.842 0.299 0.652 Sm
0.158 0.701 0.348 Sm
0.353 0.310 0.152 Sm
0.711 0.703 0.501 Pm
0.289 0.297 0.499 Pm
0.202 0.710 0.999 Pm
0.798 0.290 0.001 Pm
0.748 0.998 0.250 Nd
0.252 0.002 0.750 Nd
```

***

Quick one: most stable of them? *one*

***

*one*
Pm3NdSm2: optimized geometry, GGA-PBE.

```
Pm3NdSm2
1.0
5.758 -0.609 -3.286
-0.327 3.273 -1.179
-2.999 2.173 12.040
Nd Pm Sm
1 3 2
Direct
0.000 0.000 0.000 Nd
0.202 0.172 0.344 Pm
0.798 0.828 0.656 Pm
0.500 0.000 0.000 Pm
0.679 0.663 0.325 Sm
0.321 0.337 0.675 Sm
```

***

*two*
Pm3NdSm2: optimized geometry, GGA-PBE.

```
Pm3NdSm2
1.0
-0.244 -6.822 -0.023
3.169 -0.138 7.048
-7.041 0.241 3.179
Sm Pm Nd
4 6 2
Direct
0.250 0.596 0.904 Sm
0.750 0.096 0.404 Sm
0.250 0.904 0.596 Sm
0.750 0.404 0.096 Sm
0.250 0.403 0.403 Pm
0.500 0.750 0.250 Pm
0.000 0.250 0.750 Pm
0.500 0.250 0.750 Pm
0.000 0.750 0.250 Pm
0.750 0.597 0.597 Pm
0.750 0.901 0.901 Nd
0.250 0.099 0.099 Nd
```

***

Quick one: most stable of them? *one*

***

*one*
Pm3NdSm3: optimized geometry, GGA-PBE.

```
Pm3NdSm3
1.0
-4.074 -1.715 -7.818
-2.600 -8.320 -2.167
-8.696 -2.222 -0.328
Sm Pm Nd
6 6 2
Direct
0.938 0.709 0.176 Sm
0.709 0.176 0.938 Sm
0.291 0.824 0.062 Sm
0.176 0.938 0.709 Sm
0.062 0.291 0.824 Sm
0.824 0.062 0.291 Sm
0.432 0.932 0.278 Pm
0.932 0.278 0.432 Pm
0.068 0.722 0.568 Pm
0.568 0.068 0.722 Pm
0.278 0.432 0.932 Pm
0.722 0.568 0.068 Pm
0.348 0.348 0.348 Nd
0.652 0.652 0.652 Nd
```

***

*two*
Pm3NdSm3: optimized geometry, GGA-PBE.

```
Pm3NdSm3
1.0
5.863 0.000 0.000
0.000 9.768 0.000
0.000 -4.884 8.459
Sm Pm Nd
6 6 2
Direct
0.250 0.524 0.905 Sm
0.750 0.905 0.381 Sm
0.750 0.619 0.524 Sm
0.250 0.381 0.476 Sm
0.250 0.095 0.619 Sm
0.750 0.476 0.095 Sm
0.750 0.048 0.810 Pm
0.750 0.190 0.238 Pm
0.250 0.952 0.190 Pm
0.250 0.810 0.762 Pm
0.250 0.238 0.048 Pm
0.750 0.762 0.952 Pm
0.250 0.667 0.333 Nd
0.750 0.333 0.667 Nd
```

***

Quick one: most stable of them? *two*